Here is BaTc2Sb after structural relaxation from Alexandria. Energies are from PBEsol.

Properties
Raw total energy: -6.37 eV/atom
Theoretical density: 8.9 g cm⁻³
Magnetization: 0.0 μB/cell
E_form (uncorrected): 361 kJ/mol of formula units
SG: Immm

a b c (Å): 3.242 5.635 5.635
angles (deg): 60.77 73.28 73.28
Element x y z (fractional)
1 Tc 0.275 0.725 0.725
2 Tc 0.725 0.275 0.275
3 Ba 0.500 0.000 0.000
4 Sb 0.000 0.500 0.500

***

Here is BaTcSb after structural relaxation from Alexandria. Energies are from PBEsol.

Properties
Raw total energy: -5.97 eV/atom
Theoretical density: 8.0 g cm⁻³
Magnetization: 0.0 μB/cell
E_form (uncorrected): 7 kJ/mol of formula units
SG: I4mm

a b c (Å): 3.485 3.485 6.614
angles (deg): 105.28 105.28 90.00
Element x y z (fractional)
1 Tc 0.701 0.701 0.402
2 Ba 0.009 0.009 0.017
3 Sb 0.290 0.290 0.581

***

Here is BaTcSbTe2 after structural relaxation from Alexandria. Energies are from PBEsol.

Properties
Raw total energy: -5.27 eV/atom
Theoretical density: 6.7 g cm⁻³
Magnetization: 1.8 μB/cell
E_form (uncorrected): -126 kJ/mol of formula units
SG: P4/mmm

a b c (Å): 5.014 5.509 5.509
angles (deg): 90.00 90.00 90.00
Site moments in Bohr magnetons follow the coordinates.
Element x y z (fractional)
1 Te 0.000 0.500 0.000  0.07
2 Te 0.000 0.000 0.500  0.07
3 Sb 0.500 0.000 0.000  -0.04
4 Tc 0.000 0.000 0.000  1.41
5 Ba 0.500 0.500 0.500  0.03